Here is a relaxed structure of Mn2BePb from Alexandria. Energies are from PBE.

Cell: 4.6253 4.6253 3.0346 Å, 90.00 90.00 108.11°
Last column: nearest neighbours and their distance in Å.
Fractional coordinates of all 4 atoms:
Mn1 0.0000 0.5000 0.0000  4 Mn 2.72-3.03, 4 Pb 2.77, 4 Be 2.77
Mn2 0.5000 0.0000 0.0000  4 Mn 2.72-3.03, 4 Pb 2.77, 4 Be 2.77
Be1 0.0000 0.0000 0.5000  2 Pb 2.72, 8 Mn 2.77, 2 Be 3.03
Pb1 0.5000 0.5000 0.5000  2 Be 2.72, 8 Mn 2.77, 2 Pb 3.03

Values from the calculation:
The size of the total moment comes out at 1.491 μB/atom. The polymorph energy (0 for the lowest one) is 17.2 kJ/mol of atoms. As for the formation enthalpy at 0 K: 0.575 eV/atom.

---

Here is a relaxed structure of MgScF5 from Alexandria. Energies are from PBE.

Cell: 5.4844 5.4844 5.4844 Å, 140.95 106.21 86.80°
Last column: nearest neighbours and their distance in Å.
Fractional coordinates of all 7 atoms:
Mg1 0.0000 0.0000 0.0000  4 F 1.83-2.04
Sc1 0.5000 0.5000 0.0000  2 F 1.94
F1 0.0000 0.5000 0.5000  2 Mg 1.83
F2 0.2565 0.2565 0.0000  1 Sc 1.94, 1 Mg 2.04
F3 0.3151 0.0000 0.3151  1 Mg 2.07, 2 Sc 2.20
F4 0.6849 0.0000 0.6849  1 Mg 2.07, 2 Sc 2.20
F5 0.7435 0.7435 0.0000  1 Sc 1.94, 1 Mg 2.04

Values from the calculation:
The size of the total moment comes out at 0.000 μB/atom. Its formation energy from raw total energies is -3.67 eV per atom.

---

Here is a relaxed structure of LiHfSn2 from Alexandria. Energies are from PBE.

Cell: 5.2541 5.2541 3.1664 Å, 90.00 90.00 90.00°
Last column: nearest neighbours and their distance in Å.
Fractional coordinates of all 4 atoms:
Li1 0.0000 0.0000 0.0000  8 Sn 3.07, 2 Li 3.17
Hf1 0.5000 0.5000 0.0000  8 Sn 3.07, 2 Hf 3.17
Sn1 0.0000 0.5000 0.5000  4 Hf 3.07, 4 Li 3.07, 2 Sn 3.17
Sn2 0.5000 0.0000 0.5000  4 Hf 3.07, 4 Li 3.07, 2 Sn 3.17

Values from the calculation:
The size of the total moment comes out at 0.000 μB/atom. The polymorph energy (0 for the lowest one) is 2.0 kJ/mol of atoms. As for the formation enthalpy at 0 K: -0.240 eV/atom.